[1]
VASP calculation (PBE-GGA) on a relaxed ReRu2Cl crystal.

abc: 2.8208 2.8208 8.9143
angles: 90.00 90.00 120.97
Last column: nearest neighbours and their distance in Å.
Positions (direct):
Re 0.0000 0.0000 0.0000  2 Ru 2.58, 2 Cl 2.74, 6 Re 2.78-2.82
Ru 0.0000 0.0000 0.4974  2 Cl 2.53, 8 Ru 2.66-2.82
Ru 0.5000 0.5000 0.2434  2 Re 2.58, 8 Ru 2.66-2.82
Cl 0.5000 0.5000 0.7352  2 Ru 2.53, 2 Re 2.74, 6 Cl 2.78-2.82

V ... 15.2 Å³ per atom
SG ... No. 35
Energy relative to the lowest polymorph listed for this composition ... 0.4396 eV per atom
Formation energy without anion corrections ... 740.2 meV/atom


[2]
VASP calculation (PBE-GGA) on a relaxed Pt9Rh2Au crystal.

abc: 3.9626 3.9626 11.9269
angles: 90.00 90.00 90.00
Last column: nearest neighbours and their distance in Å.
Positions (direct):
Pt 0.0000 0.0000 0.0000  4 Au 2.80, 8 Pt 2.86
Pt 0.0000 0.0000 0.3355  8 Pt 2.77-2.79, 4 Rh 2.80
Pt 0.0000 0.0000 0.6645  8 Pt 2.77-2.79, 4 Rh 2.80
Pt 0.0000 0.5000 0.1728  8 Pt 2.77-2.86, 2 Rh 2.80, 2 Au 2.86
Pt 0.0000 0.5000 0.5000  4 Rh 2.76, 8 Pt 2.79-2.80
Pt 0.0000 0.5000 0.8272  8 Pt 2.77-2.86, 2 Rh 2.80, 2 Au 2.86
Pt 0.5000 0.0000 0.1728  8 Pt 2.77-2.86, 2 Rh 2.80, 2 Au 2.86
Pt 0.5000 0.0000 0.5000  4 Rh 2.76, 8 Pt 2.79-2.80
Pt 0.5000 0.0000 0.8272  8 Pt 2.77-2.86, 2 Rh 2.80, 2 Au 2.86
Rh 0.5000 0.5000 0.3384  12 Pt 2.76-2.80
Rh 0.5000 0.5000 0.6616  12 Pt 2.76-2.80
Au 0.5000 0.5000 0.0000  12 Pt 2.80-2.86

V ... 15.6 Å³ per atom
SG ... No. 123
DFT formation energy ... 0.01 eV/atom


[3]
VASP calculation (PBE-GGA) on a relaxed Cs2SnPbCl6 crystal.

abc: 8.0278 8.0278 8.0278
angles: 60.00 60.00 60.00
Last column: nearest neighbours and their distance in Å.
Positions (direct):
Cs 0.2500 0.2500 0.2500  12 Cl 4.01
Cs 0.7500 0.7500 0.7500  12 Cl 4.01
Sn 0.0000 0.0000 0.0000  6 Cl 2.81
Pb 0.5000 0.5000 0.5000  6 Cl 2.87
Cl 0.2473 0.2473 0.7527  1 Sn 2.81, 1 Pb 2.87
Cl 0.2473 0.7527 0.2473  1 Sn 2.81, 1 Pb 2.87
Cl 0.2473 0.7527 0.7527  1 Sn 2.81, 1 Pb 2.87
Cl 0.7527 0.2473 0.2473  1 Sn 2.81, 1 Pb 2.87
Cl 0.7527 0.2473 0.7527  1 Sn 2.81, 1 Pb 2.87
Cl 0.7527 0.7527 0.2473  1 Sn 2.81, 1 Pb 2.87

V ... 36.6 Å³ per atom
SG ... No. 225
Formation energy without anion corrections ... -1483.9 meV/atom


[4]
VASP calculation (PBE-GGA) on a relaxed RbAgBiSe2 crystal.

abc: 8.3665 8.3665 6.2429
angles: 90.00 90.00 134.51
Last column: nearest neighbours and their distance in Å.
Positions (direct):
Rb 0.2500 0.7500 0.7524  8 Se 3.56-3.70
Rb 0.7500 0.2500 0.2476  8 Se 3.56-3.70
Ag 0.0000 0.0000 0.5000  2 Se 2.55
Ag 0.5000 0.5000 0.5000  2 Se 2.55
Bi 0.2500 0.2500 0.0000  4 Se 3.08, 2 Bi 3.23
Bi 0.7500 0.7500 0.0000  4 Se 3.08, 2 Bi 3.23
Se 0.1336 0.8664 0.2598  1 Ag 2.55
Se 0.3664 0.6336 0.2598  1 Ag 2.55
Se 0.6336 0.3664 0.7402  1 Ag 2.55
Se 0.8664 0.1336 0.7402  1 Ag 2.55

V ... 31.2 Å³ per atom
SG ... No. 67
Formation energy without anion corrections ... -401.7 meV/atom


[5]
VASP calculation (PBE-GGA) on a relaxed Fe2SiSeN crystal.

abc: 4.4565 4.4565 3.3463
angles: 90.00 90.00 90.00
Last column: nearest neighbours and their distance in Å.
Positions (direct):
Fe 0.0000 0.5000 0.0000  2 Si 2.23
Fe 0.5000 0.0000 0.0000  2 Si 2.23
Si 0.0000 0.0000 0.0000  2 N 1.67
Se 0.5000 0.5000 0.5000  8 Fe 2.79
N 0.0000 0.0000 0.5000  2 Si 1.67

V ... 13.3 Å³ per atom
SG ... No. 123
Formation energy without anion corrections ... 928.4 meV/atom


[6]
VASP calculation (PBE-GGA) on a relaxed Li3ZnS crystal.

abc: 4.6206 4.6206 4.6206
angles: 90.00 90.00 90.00
Last column: nearest neighbours and their distance in Å.
Positions (direct):
Li 0.0000 0.0000 0.5000  2 S 2.31
Li 0.0000 0.5000 0.0000  2 S 2.31
Li 0.5000 0.0000 0.0000  2 S 2.31
Zn 0.5000 0.5000 0.5000  12 Li 3.27
S 0.0000 0.0000 0.0000  6 Li 2.31

V ... 19.7 Å³ per atom
SG ... No. 221
Energy relative to the lowest polymorph listed for this composition ... 0.0000 eV per atom
Formation energy without anion corrections ... -573.1 meV/atom


[7]
VASP calculation (PBE-GGA) on a relaxed LiPmCdF6 crystal.

abc: 5.6240 5.6240 9.6199
angles: 90.00 90.00 120.00
Last column: nearest neighbours and their distance in Å.
Positions (direct):
Li 0.3333 0.6667 0.2500  6 F 2.10
Li 0.6667 0.3333 0.7500  6 F 2.10
Pm 0.3333 0.6667 0.7500  6 F 2.28
Pm 0.6667 0.3333 0.2500  6 F 2.28
Cd 0.0000 0.0000 0.0000  6 F 2.28
Cd 0.0000 0.0000 0.5000  6 F 2.28
F 0.0244 0.3488 0.1316  1 Li 2.10, 1 Pm 2.28, 1 Cd 2.28
F 0.0244 0.6756 0.3684  1 Li 2.10, 1 Pm 2.28, 1 Cd 2.28
F 0.3244 0.3488 0.3684  1 Li 2.10, 1 Pm 2.28, 1 Cd 2.28
F 0.3244 0.9756 0.1316  1 Li 2.10, 1 Pm 2.28, 1 Cd 2.28
F 0.3488 0.0244 0.6316  1 Li 2.10, 1 Pm 2.28, 1 Cd 2.28
F 0.3488 0.3244 0.8684  1 Li 2.10, 1 Pm 2.28, 1 Cd 2.28
F 0.6512 0.6756 0.1316  1 Li 2.10, 1 Pm 2.28, 1 Cd 2.28
F 0.6512 0.9756 0.3684  1 Li 2.10, 1 Pm 2.28, 1 Cd 2.28
F 0.6756 0.0244 0.8684  1 Li 2.10, 1 Pm 2.28, 1 Cd 2.28
F 0.6756 0.6512 0.6316  1 Li 2.10, 1 Pm 2.28, 1 Cd 2.28
F 0.9756 0.3244 0.6316  1 Li 2.10, 1 Pm 2.28, 1 Cd 2.28
F 0.9756 0.6512 0.8684  1 Li 2.10, 1 Pm 2.28, 1 Cd 2.28

V ... 14.6 Å³ per atom
SG ... No. 163
Formation energy without anion corrections ... -3136.8 meV/atom


[8]
VASP calculation (PBE-GGA) on a relaxed LaMgZnGe2 crystal.

abc: 6.5917 6.5917 6.5917
angles: 142.20 142.20 54.52
Last column: nearest neighbours and their distance in Å.
Positions (direct):
La 0.0000 0.0000 0.0000  8 Ge 3.29, 4 Mg 3.63, 4 Zn 3.63
Mg 0.2500 0.7500 0.5000  4 Ge 2.69
Zn 0.7500 0.2500 0.5000  4 Ge 2.69
Ge 0.3893 0.3893 0.0000  1 Ge 2.60, 2 Mg 2.69, 2 Zn 2.69
Ge 0.6107 0.6107 0.0000  1 Ge 2.60, 2 Mg 2.69, 2 Zn 2.69

V ... 21.4 Å³ per atom
SG ... No. 119
DFT formation energy ... -0.53 eV/atom


[9]
VASP calculation (PBE-GGA) on a relaxed CrFeCo2 crystal.

abc: 4.3221 4.3221 4.3282
angles: 99.60 99.60 33.56
Last column: nearest neighbours and their distance in Å.
Positions (direct):
Cr 0.0000 0.0000 0.0000  6 Co 2.49-2.50, 2 Cr 2.50, 4 Fe 2.50
Fe 0.5000 0.5000 0.5000  6 Co 2.49-2.51, 2 Fe 2.50, 4 Cr 2.50
Co 0.2491 0.2491 0.7516  6 Co 2.48-2.51, 3 Cr 2.49-2.50, 3 Fe 2.49-2.51
Co 0.7509 0.7509 0.2484  6 Co 2.48-2.51, 3 Cr 2.49-2.50, 3 Fe 2.49-2.51

V ... 11.0 Å³ per atom
SG ... No. 12
DFT formation energy ... 0.10 eV/atom


[10]
VASP calculation (PBE-GGA) on a relaxed Tl2AuSeI crystal.

abc: 6.3416 6.3416 4.8609
angles: 90.00 90.00 90.00
Last column: nearest neighbours and their distance in Å.
Positions (direct):
Tl 0.0000 0.5000 0.0000  2 Se 3.17
Tl 0.5000 0.0000 0.0000  2 Se 3.17
Au 0.0000 0.0000 0.5000  2 Se 2.43
Se 0.0000 0.0000 0.0000  2 Au 2.43
I 0.5000 0.5000 0.5000  8 Tl 4.00

V ... 39.1 Å³ per atom
SG ... No. 123
Formation energy without anion corrections ... -207.1 meV/atom


[11]
VASP calculation (PBE-GGA) on a relaxed RbNiPt crystal.

abc: 6.7315 6.7315 6.5780
angles: 119.11 119.11 35.67
Last column: nearest neighbours and their distance in Å.
Positions (direct):
Rb 0.1158 0.1158 0.2882  5 Ni 3.37-3.71, 3 Rb 3.42-3.75, 5 Pt 3.46-3.63
Rb 0.8842 0.8842 0.7118  5 Ni 3.37-3.71, 3 Rb 3.42-3.75, 5 Pt 3.46-3.63
Ni 0.2099 0.2099 0.8939  2 Ni 2.41, 3 Pt 2.46-2.53
Ni 0.7901 0.7901 0.1061  2 Ni 2.41, 3 Pt 2.46-2.53
Pt 0.4015 0.4015 0.2977  3 Ni 2.46-2.53, 1 Pt 2.57
Pt 0.5985 0.5985 0.7023  3 Ni 2.46-2.53, 1 Pt 2.57

V ... 24.9 Å³ per atom
SG ... No. 12
Energy relative to the lowest polymorph listed for this composition ... 0.1043 eV per atom
DFT formation energy ... 0.14 eV/atom


[12]
VASP calculation (PBE-GGA) on a relaxed ZrUTe2N crystal.

abc: 3.8968 3.8968 14.6420
angles: 90.00 90.00 90.00
Last column: nearest neighbours and their distance in Å.
Positions (direct):
Zr 0.2500 0.2500 0.0697  5 Te 2.92-3.02
Zr 0.7500 0.7500 0.9303  5 Te 2.92-3.02
U 0.2500 0.2500 0.5784  4 N 2.26
U 0.7500 0.7500 0.4216  4 N 2.26
Te 0.2500 0.2500 0.3009  4 U 3.27, 1 Zr 3.38, 4 N 3.51, 4 Te 3.66
Te 0.2500 0.2500 0.8634  5 Zr 2.92-3.02
Te 0.7500 0.7500 0.1366  5 Zr 2.92-3.02
Te 0.7500 0.7500 0.6991  4 U 3.27, 1 Zr 3.38, 4 N 3.51, 4 Te 3.66
N 0.2500 0.7500 0.5000  4 U 2.26
N 0.7500 0.2500 0.5000  4 U 2.26

V ... 22.2 Å³ per atom
SG ... No. 129
Formation energy without anion corrections ... -1104.8 meV/atom


- V of number 4 (RbAgBiSe2)?
  31.2 Å³ per atom


- Among the records above, which one has the lowest V?
  CrFeCo2


- Among the records above, which one has the highest V?
  Tl2AuSeI


- Among the records above, which one has the lowest V?
  CrFeCo2